No. 1
Ca2ThMg9 | PBE | relaxed

The structure in CIF format:
```
data_Ca2ThMg9
_cell_length_a 6.1054
_cell_length_b 6.1054
_cell_length_c 29.5921
_cell_angle_alpha 90.00
_cell_angle_beta 90.00
_cell_angle_gamma 120.00
_symmetry_space_group_name_H-M 'R -3 m'
_symmetry_Int_Tables_number 166
_symmetry_space_group_name_Hall '-R 3 2"'
loop_
_atom_site_label
_atom_site_fract_x
_atom_site_fract_y
_atom_site_fract_z
Ca1 0.0000 0.0000 0.1412
Th1 0.0000 0.0000 0.0000
Mg1 0.0000 0.0000 0.3336
Mg2 0.0000 0.0000 0.5000
Mg3 0.0025 0.5012 0.9179
```

Calculated formation energy   -0.015 eV per atom

***

No. 2
CaThMg2 | PBE | relaxed

The structure in CIF format:
```
data_CaThMg2
_cell_length_a 3.4551
_cell_length_b 3.4551
_cell_length_c 34.6874
_cell_angle_alpha 90.00
_cell_angle_beta 90.00
_cell_angle_gamma 120.00
_symmetry_space_group_name_H-M 'R -3 m'
_symmetry_Int_Tables_number 166
_symmetry_space_group_name_Hall '-R 3 2"'
loop_
_atom_site_label
_atom_site_fract_x
_atom_site_fract_y
_atom_site_fract_z
Ca1 0.0000 0.0000 0.0000
Th1 0.0000 0.0000 0.5000
Mg1 0.0000 0.0000 0.2507
```

Calculated formation energy   0.089 eV per atom

***

No. 3
CaThMgZn | PBE | relaxed

The structure in CIF format:
```
data_CaThMgZn
_cell_length_a 7.542
_cell_length_b 7.542
_cell_length_c 7.542
_cell_angle_alpha 90.00
_cell_angle_beta 90.00
_cell_angle_gamma 90.00
_symmetry_space_group_name_H-M 'F -4 3 m'
_symmetry_Int_Tables_number 216
_symmetry_space_group_name_Hall 'F -4 2 3'
loop_
_atom_site_label
_atom_site_fract_x
_atom_site_fract_y
_atom_site_fract_z
Ca1 0.000 0.000 0.000
Th1 0.000 0.000 0.500
Mg1 0.250 0.250 0.250
Zn1 0.250 0.250 0.750
```

Calculated formation energy   -0.007 eV per atom

***

No. 4
CaMg2Ti | PBE | relaxed

The structure in CIF format:
```
data_CaMg2Ti
_cell_length_a 8.304
_cell_length_b 8.304
_cell_length_c 6.263
_cell_angle_alpha 90.00
_cell_angle_beta 90.00
_cell_angle_gamma 90.00
_symmetry_space_group_name_H-M 'I -4 2 d'
_symmetry_Int_Tables_number 122
_symmetry_space_group_name_Hall 'I -4 2bw'
loop_
_atom_site_label
_atom_site_fract_x
_atom_site_fract_y
_atom_site_fract_z
Ca1 0.000 0.000 0.000
Mg1 0.223 0.250 0.625
Ti1 0.000 0.000 0.500
```

Calculated formation energy   0.531 eV per atom

***

No. 5
CaMg14Ti | PBE | relaxed

The structure in CIF format:
```
data_CaMg14Ti
_cell_length_a 6.4891
_cell_length_b 6.4891
_cell_length_c 10.2877
_cell_angle_alpha 90.00
_cell_angle_beta 90.00
_cell_angle_gamma 120.00
_symmetry_space_group_name_H-M 'P -6 m 2'
_symmetry_Int_Tables_number 187
_symmetry_space_group_name_Hall 'P -6 2'
loop_
_atom_site_label
_atom_site_fract_x
_atom_site_fract_y
_atom_site_fract_z
Ca1 0.0000 0.0000 0.0000
Mg1 0.0096 0.5048 0.0000
Mg2 0.1655 0.3309 0.2625
Mg3 0.5006 0.0012 0.5000
Mg4 0.6667 0.3333 0.2447
Ti1 0.0000 0.0000 0.5000
```

Polymorph energy (0 for the lowest one)   0 meV/atom
Calculated formation energy   0.054 eV per atom

***

No. 6
CaMg14Ti | PBE | relaxed

The structure in CIF format:
```
data_CaMg14Ti
_cell_length_a 10.402
_cell_length_b 6.431
_cell_length_c 11.255
_cell_angle_alpha 90.00
_cell_angle_beta 90.00
_cell_angle_gamma 90.00
_symmetry_space_group_name_H-M 'A m m 2'
_symmetry_Int_Tables_number 38
loop_
_symmetry_equiv_pos_as_xyz
'x,y,z'
'-x,-y,z'
'-x,y,z'
'x,-y,z'
'x,y+1/2,z+1/2'
'-x,-y+1/2,z+1/2'
'-x,y+1/2,z+1/2'
'x,-y+1/2,z+1/2'
loop_
_atom_site_label
_atom_site_fract_x
_atom_site_fract_y
_atom_site_fract_z
Ca1 0.000 0.000 0.000
Mg1 0.000 0.248 0.251
Mg2 0.239 0.000 0.658
Mg3 0.251 0.242 0.413
Mg4 0.257 0.000 0.165
Mg5 0.500 0.000 0.497
Mg6 0.500 0.000 0.995
Mg7 0.500 0.247 0.746
Ti1 0.000 0.000 0.493
```

Polymorph energy (0 for the lowest one)   9 meV/atom
Calculated formation energy   0.063 eV per atom

***

No. 7
CaMg6Ti | PBE | relaxed

The structure in CIF format:
```
data_CaMg6Ti
_cell_length_a 6.499
_cell_length_b 6.499
_cell_length_c 4.494
_cell_angle_alpha 90.00
_cell_angle_beta 90.00
_cell_angle_gamma 90.00
_symmetry_space_group_name_H-M 'P 4/m m m'
_symmetry_Int_Tables_number 123
_symmetry_space_group_name_Hall '-P 4 2'
loop_
_atom_site_label
_atom_site_fract_x
_atom_site_fract_y
_atom_site_fract_z
Ca1 0.000 0.000 0.000
Mg1 0.000 0.500 0.000
Mg2 0.268 0.268 0.500
Ti1 0.500 0.500 0.000
```

Polymorph energy (0 for the lowest one)   0 meV/atom
Calculated formation energy   0.069 eV per atom

***

No. 8
CaMg6Ti | PBE | relaxed

The structure in CIF format:
```
data_CaMg6Ti
_cell_length_a 6.4856
_cell_length_b 6.4856
_cell_length_c 5.1574
_cell_angle_alpha 90.00
_cell_angle_beta 90.00
_cell_angle_gamma 120.00
_symmetry_space_group_name_H-M 'P -6 m 2'
_symmetry_Int_Tables_number 187
_symmetry_space_group_name_Hall 'P -6 2'
loop_
_atom_site_label
_atom_site_fract_x
_atom_site_fract_y
_atom_site_fract_z
Ca1 0.0000 0.0000 0.0000
Mg1 0.0129 0.5064 0.0000
Mg2 0.3439 0.1719 0.5000
Ti1 0.3333 0.6667 0.5000
```

Polymorph energy (0 for the lowest one)   20 meV/atom
Calculated formation energy   0.089 eV per atom

***

no.,DOS(E_F) (states/eV/f.u.)
1,9.13
2,3.04
3,3.43
4,3.77
5,9.75
6,9.40
7,5.93
8,6.02